(P)
This record from Alexandria via LeMat-Bulk describes a relaxed AcRu2O8 crystal. The functional is PBE.

Computed properties:
D(E_F) (states/eV/cell): 6.122
Size of the total moment (μB/f.u.): 3.05

a b c (Å): 6.464 6.016 6.016
angles (deg): 52.54 72.58 72.58
Fractional coordinates of all 11 atoms:
Ru 0.311 0.209 0.209
Ru 0.689 0.791 0.791
O 0.604 0.161 0.161
O 0.790 0.624 0.111
O 0.210 0.889 0.376
O 0.825 0.619 0.619
O 0.396 0.839 0.839
O 0.175 0.381 0.381
O 0.790 0.111 0.624
O 0.210 0.376 0.889
Ac 0.000 0.000 0.000

=====

(Q)
This record from Alexandria via LeMat-Bulk describes a relaxed AcRu2O8 crystal. The functional is PBE.

Computed properties:
D(E_F) (states/eV/cell): 6.842
Size of the total moment (μB/f.u.): 0.00

a b c (Å): 4.822 4.822 6.031
angles (deg): 90.00 90.00 90.00
Fractional coordinates of all 11 atoms:
O 0.753 0.247 0.809
O 0.753 0.753 0.191
O 0.753 0.753 0.809
O 0.247 0.247 0.809
O 0.247 0.247 0.191
O 0.247 0.753 0.191
O 0.247 0.753 0.809
O 0.753 0.247 0.191
Ru 0.000 0.500 0.000
Ru 0.500 0.000 0.000
Ac 0.500 0.500 0.500

=====

Most stable = (P)

=====

(P)
This record from Alexandria via LeMat-Bulk describes a relaxed Ac2SO6 crystal. The functional is PBE.

Computed properties:
D(E_F) (states/eV/cell): 0.000
Size of the total moment (μB/f.u.): 0.00

a b c (Å): 8.434 7.235 7.235
angles (deg): 117.42 85.15 85.15
Fractional coordinates of all 18 atoms:
Ac 0.582 0.636 0.762
Ac 0.082 0.762 0.636
Ac 0.918 0.238 0.364
Ac 0.418 0.364 0.238
O 0.170 0.930 0.377
O 0.122 0.857 0.030
O 0.622 0.030 0.857
O 0.878 0.143 0.970
O 0.830 0.070 0.623
O 0.330 0.623 0.070
O 0.865 0.582 0.661
O 0.135 0.418 0.339
O 0.365 0.661 0.582
O 0.378 0.970 0.143
O 0.670 0.377 0.930
O 0.635 0.339 0.418
S 0.750 0.156 0.844
S 0.250 0.844 0.156

=====

(Q)
This record from Alexandria via LeMat-Bulk describes a relaxed Ac2SO6 crystal. The functional is PBE.

Computed properties:
D(E_F) (states/eV/cell): 0.000
Size of the total moment (μB/f.u.): 0.00

a b c (Å): 4.627 5.313 5.313
angles (deg): 60.03 89.92 89.92
Fractional coordinates of all 9 atoms:
O 0.795 0.691 0.155
O 0.205 0.845 0.309
O 0.205 0.845 0.845
O 0.795 0.155 0.691
O 0.795 0.155 0.155
O 0.205 0.309 0.845
Ac 0.743 0.667 0.667
Ac 0.257 0.333 0.333
S 0.000 0.000 0.000

=====

Most stable = (P)